Entry from Alexandria: crystalline RbAl6Ag3 at its relaxed geometry (PBE).

The structure in POSCAR format:
```
RbAl6Ag3
1.0
7.417 0.000 0.000
0.000 6.533 -2.457
0.000 0.717 8.299
Al Ag Rb
12 6 2
Direct
0.783 0.105 0.353 Al
0.217 0.895 0.647 Al
0.229 0.792 0.295 Al
0.771 0.208 0.705 Al
0.967 0.451 0.323 Al
0.033 0.549 0.677 Al
0.271 0.292 0.795 Al
0.717 0.605 0.853 Al
0.283 0.395 0.147 Al
0.729 0.708 0.205 Al
0.533 0.951 0.823 Al
0.467 0.049 0.177 Al
0.616 0.322 0.022 Ag
0.500 0.000 0.500 Ag
0.000 0.500 0.000 Ag
0.384 0.678 0.978 Ag
0.116 0.178 0.478 Ag
0.884 0.822 0.522 Ag
0.000 0.000 0.000 Rb
0.500 0.500 0.500 Rb
```

## Properties
N(E_F) = 0.39 states/eV/atom
Size of the total moment = 0.0 μB per formula unit
VASP energy = -61.55 eV per cell